A:
{"formula": "PmPrNd5", "functional": "GGA-PBE", "state": "relaxed", "lattice": [[6.0667, -3.5089, 0.0000], [6.0667, 3.5089, 0.0000], [-4.5828, 0.0000, 11.6763]], "species": ["Pm", "Pm", "Pr", "Pr", "Nd", "Nd", "Nd", "Nd", "Nd", "Nd", "Nd", "Nd", "Nd", "Nd"], "frac_coords": [[0.0000, 0.5000, 0.0000], [0.5000, 0.0000, 0.5000], [0.0307, 0.9693, 0.7500], [0.9693, 0.0307, 0.2500], [0.1540, 0.4069, 0.7501], [0.1938, 0.6528, 0.5003], [0.3472, 0.8062, 0.9997], [0.4069, 0.1540, 0.2501], [0.4095, 0.5905, 0.2500], [0.5905, 0.4095, 0.7500], [0.5931, 0.8460, 0.7499], [0.6528, 0.1938, 0.0003], [0.8062, 0.3472, 0.4997], [0.8460, 0.5931, 0.2499]], "magnetic_moment_mub_per_fu": 0.0}


B:
{"formula": "PmPrNd5", "functional": "GGA-PBE", "state": "relaxed", "lattice": [[5.9190, 0.0000, 0.0000], [0.0000, 8.8984, 0.0000], [0.0000, 0.0000, 12.0939]], "species": ["Pm", "Pm", "Pr", "Pr", "Nd", "Nd", "Nd", "Nd", "Nd", "Nd", "Nd", "Nd", "Nd", "Nd"], "frac_coords": [[0.0000, 0.0000, 0.0000], [0.5000, 0.5000, 0.5000], [0.0000, 0.0000, 0.5000], [0.5000, 0.5000, 0.0000], [0.0000, 0.0000, 0.2491], [0.0000, 0.0000, 0.7509], [0.0000, 0.3217, 0.5000], [0.0000, 0.5000, 0.0000], [0.0000, 0.6783, 0.5000], [0.5000, 0.0000, 0.5000], [0.5000, 0.1783, 0.0000], [0.5000, 0.5000, 0.2509], [0.5000, 0.5000, 0.7491], [0.5000, 0.8217, 0.0000]], "magnetic_moment_mub_per_fu": 0.3}


The structure with the greatest stability is A.


A:
{"formula": "Pm2Pr6Nd", "functional": "GGA-PBE", "state": "relaxed", "lattice": [[8.3572, 0.0000, 0.0000], [0.0000, 8.3572, 0.0000], [0.0000, 0.0000, 10.6867]], "species": ["Pm", "Pm", "Pm", "Pm", "Pr", "Pr", "Pr", "Pr", "Pr", "Pr", "Pr", "Pr", "Pr", "Pr", "Pr", "Pr", "Nd", "Nd"], "frac_coords": [[0.0000, 0.0000, 0.1666], [0.0000, 0.0000, 0.8334], [0.5000, 0.5000, 0.3334], [0.5000, 0.5000, 0.6666], [0.2374, 0.2374, 0.0000], [0.2378, 0.2378, 0.3334], [0.2378, 0.2378, 0.6666], [0.2622, 0.7378, 0.1666], [0.2622, 0.7378, 0.8334], [0.2626, 0.7374, 0.5000], [0.7374, 0.2626, 0.5000], [0.7378, 0.2622, 0.1666], [0.7378, 0.2622, 0.8334], [0.7622, 0.7622, 0.3334], [0.7622, 0.7622, 0.6666], [0.7626, 0.7626, 0.0000], [0.0000, 0.0000, 0.5000], [0.5000, 0.5000, 0.0000]], "magnetic_moment_mub_per_fu": 0.0}


B:
{"formula": "Pm2Pr6Nd", "functional": "GGA-PBE", "state": "relaxed", "lattice": [[-1.7667, 5.2165, 8.8605], [1.7667, -5.2165, 8.8605], [1.7667, 5.2165, -8.8605]], "species": ["Pm", "Pm", "Pr", "Pr", "Pr", "Pr", "Pr", "Pr", "Nd"], "frac_coords": [[0.1666, 0.1666, 0.0000], [0.8334, 0.8334, 0.0000], [0.1455, 0.3332, 0.8122], [0.1868, 0.0000, 0.1868], [0.4790, 0.6668, 0.8122], [0.5210, 0.3332, 0.1878], [0.8132, 0.0000, 0.8132], [0.8545, 0.6668, 0.1878], [0.5000, 0.5000, 0.0000]], "magnetic_moment_mub_per_fu": 0.0}


The structure with the greatest stability is B.


A:
{"formula": "Pm9PrNd2", "functional": "GGA-PBE", "state": "relaxed", "lattice": [[5.1728, 0.0000, 0.0000], [0.0000, 5.1728, 0.0000], [0.0000, 0.0000, 15.5218]], "species": ["Pm", "Pm", "Pm", "Pm", "Pm", "Pm", "Pm", "Pm", "Pm", "Pr", "Nd", "Nd"], "frac_coords": [[0.0000, 0.0000, 0.0000], [0.0000, 0.0000, 0.3336], [0.0000, 0.0000, 0.6664], [0.0000, 0.5000, 0.1672], [0.0000, 0.5000, 0.5000], [0.0000, 0.5000, 0.8328], [0.5000, 0.0000, 0.1672], [0.5000, 0.0000, 0.5000], [0.5000, 0.0000, 0.8328], [0.5000, 0.5000, 0.0000], [0.5000, 0.5000, 0.3335], [0.5000, 0.5000, 0.6665]], "magnetic_moment_mub_per_fu": 0.0}


B:
{"formula": "Pm9PrNd2", "functional": "GGA-PBE", "state": "relaxed", "lattice": [[11.5756, 0.0000, 0.0000], [-5.7878, 10.0248, 0.0000], [0.0000, 0.0000, 3.5795]], "species": ["Pm", "Pm", "Pm", "Pm", "Pm", "Pm", "Pm", "Pm", "Pm", "Pr", "Nd", "Nd"], "frac_coords": [[0.0000, 0.5000, 0.0000], [0.1740, 0.3480, 0.5000], [0.1740, 0.8260, 0.5000], [0.3480, 0.1740, 0.5000], [0.5000, 0.0000, 0.0000], [0.5000, 0.5000, 0.0000], [0.6520, 0.8260, 0.5000], [0.8260, 0.1740, 0.5000], [0.8260, 0.6520, 0.5000], [0.0000, 0.0000, 0.0000], [0.3333, 0.6667, 0.0000], [0.6667, 0.3333, 0.0000]], "magnetic_moment_mub_per_fu": 0.0}


The structure with the greatest stability is A.


A:
{"formula": "Pm4PrNd5", "functional": "GGA-PBE", "state": "relaxed", "lattice": [[14.4634, -1.7639, 0.0000], [14.4634, 1.7639, 0.0000], [-0.8906, 0.0000, 6.9270]], "species": ["Pm", "Pm", "Pm", "Pm", "Pr", "Nd", "Nd", "Nd", "Nd", "Nd"], "frac_coords": [[0.0943, 0.0943, 0.3008], [0.3921, 0.3921, 0.1929], [0.6079, 0.6079, 0.8071], [0.9057, 0.9057, 0.6992], [0.5000, 0.5000, 0.0000], [0.2013, 0.2013, 0.5993], [0.2058, 0.2058, 0.1028], [0.5000, 0.5000, 0.5000], [0.7942, 0.7942, 0.8972], [0.7987, 0.7987, 0.4007]], "magnetic_moment_mub_per_fu": 0.0}


B:
{"formula": "Pm4PrNd5", "functional": "GGA-PBE", "state": "relaxed", "lattice": [[-5.3190, 5.3190, 3.1492], [5.3190, -5.3190, 3.1492], [5.3190, 5.3190, -3.1492]], "species": ["Pm", "Pm", "Pm", "Pm", "Pr", "Nd", "Nd", "Nd", "Nd", "Nd"], "frac_coords": [[0.0010, 0.6735, 0.6745], [0.3265, 0.0010, 0.3275], [0.6735, 0.9990, 0.6725], [0.9990, 0.3265, 0.3255], [0.2419, 0.2419, 0.0000], [0.3217, 0.3234, 0.6208], [0.3234, 0.7026, 0.0017], [0.7009, 0.3217, 0.9983], [0.7026, 0.7009, 0.3792], [0.7778, 0.7778, 0.0000]], "magnetic_moment_mub_per_fu": 0.0}


The structure with the greatest stability is A.


A:
{"formula": "Pm3Pr3Nd5", "functional": "GGA-PBE", "state": "relaxed", "lattice": [[9.8297, 0.0000, 0.0000], [-4.9149, 8.5128, 0.0000], [0.0000, 0.0000, 5.6023]], "species": ["Pm", "Pm", "Pm", "Pr", "Pr", "Pr", "Nd", "Nd", "Nd", "Nd", "Nd"], "frac_coords": [[0.0000, 0.5191, 0.0000], [0.4809, 0.4809, 0.0000], [0.5191, 0.0000, 0.0000], [0.0000, 0.3624, 0.5000], [0.3624, 0.0000, 0.5000], [0.6376, 0.6376, 0.5000], [0.0000, 0.7326, 0.5000], [0.2674, 0.2674, 0.5000], [0.3333, 0.6667, 0.5000], [0.6667, 0.3333, 0.5000], [0.7326, 0.0000, 0.5000]], "magnetic_moment_mub_per_fu": 0.0}


B:
{"formula": "Pm3Pr3Nd5", "functional": "GGA-PBE", "state": "relaxed", "lattice": [[11.5009, 0.0000, 0.0000], [-5.7505, 9.9601, 0.0000], [0.0000, 0.0000, 3.5036]], "species": ["Pm", "Pm", "Pm", "Pr", "Pr", "Pr", "Nd", "Nd", "Nd", "Nd", "Nd"], "frac_coords": [[0.0000, 0.1597, 0.0000], [0.1597, 0.0000, 0.0000], [0.8403, 0.8403, 0.0000], [0.0000, 0.4018, 0.5000], [0.4018, 0.0000, 0.5000], [0.5982, 0.5982, 0.5000], [0.0000, 0.6608, 0.0000], [0.3333, 0.6667, 0.0000], [0.3392, 0.3392, 0.0000], [0.6608, 0.0000, 0.0000], [0.6667, 0.3333, 0.0000]], "magnetic_moment_mub_per_fu": 0.0}


The structure with the greatest stability is B.


A:
{"formula": "Pm2PrNd8", "functional": "GGA-PBE", "state": "relaxed", "lattice": [[8.5299, -3.4293, 0.0000], [8.5299, 3.4293, 0.0000], [-1.1788, 0.0000, 6.7241]], "species": ["Pm", "Pm", "Pr", "Nd", "Nd", "Nd", "Nd", "Nd", "Nd", "Nd", "Nd"], "frac_coords": [[0.2012, 0.2012, 0.3062], [0.7988, 0.7988, 0.6938], [0.0000, 0.0000, 0.5000], [0.1745, 0.6483, 0.0899], [0.2443, 0.2443, 0.8141], [0.3517, 0.8255, 0.9101], [0.4091, 0.4091, 0.5879], [0.5909, 0.5909, 0.4121], [0.6483, 0.1745, 0.0899], [0.7557, 0.7557, 0.1859], [0.8255, 0.3517, 0.9101]], "magnetic_moment_mub_per_fu": 0.0}


B:
{"formula": "Pm2PrNd8", "functional": "GGA-PBE", "state": "relaxed", "lattice": [[6.0999, -3.5687, 0.0000], [6.0999, 3.5687, 0.0000], [-2.0015, 0.0000, 9.0154]], "species": ["Pm", "Pm", "Pr", "Nd", "Nd", "Nd", "Nd", "Nd", "Nd", "Nd", "Nd"], "frac_coords": [[0.1678, 0.1678, 0.1578], [0.8322, 0.8322, 0.8422], [0.0000, 0.0000, 0.5000], [0.2202, 0.6692, 0.1737], [0.2898, 0.2898, 0.8398], [0.3308, 0.7798, 0.8263], [0.3445, 0.3445, 0.4996], [0.6555, 0.6555, 0.5004], [0.6692, 0.2202, 0.1737], [0.7102, 0.7102, 0.1602], [0.7798, 0.3308, 0.8263]], "magnetic_moment_mub_per_fu": 0.0}


The structure with the greatest stability is B.